# CoSbMoI2

A geometry-optimized CoSbMoI2 structure (PBE, Alexandria via LeMat-Bulk).

Its density of states at the Fermi level is 3.3 states/eV per cell. The value obtained for the total magnetization is 0.977 μB/atom. Its total DFT energy (no corrections) is -19.9 eV/f.u. The excess energy over the best structure of this formula in the dataset comes out at 0 meV per atom. The calculation puts the uncorrected formation energy at 1.055 eV per atom.

a b c (Å): 5.421 5.421 4.777
angles (deg): 90.00 90.00 90.00
Fractional positions:
Co 0.000 0.000 0.000
Sb 0.000 0.000 0.500
Mo 0.500 0.500 0.500
I 0.000 0.500 0.000
I 0.500 0.000 0.000

# CoTeMoI2

A geometry-optimized CoTeMoI2 structure (PBE, Alexandria via LeMat-Bulk).

Its density of states at the Fermi level is 5.7 states/eV per cell. The value obtained for the total magnetization is 0.612 μB/atom. Its total DFT energy (no corrections) is -19.3 eV/f.u. The excess energy over the best structure of this formula in the dataset comes out at 0 meV per atom. The calculation puts the uncorrected formation energy at 0.985 eV per atom.

a b c (Å): 5.267 5.267 5.051
angles (deg): 90.00 90.00 90.00
Fractional positions:
Co 0.000 0.000 0.000
Te 0.000 0.000 0.500
Mo 0.500 0.500 0.500
I 0.000 0.500 0.000
I 0.500 0.000 0.000

# CoTeMoI2

A geometry-optimized CoTeMoI2 structure (PBE, Alexandria via LeMat-Bulk).

Its density of states at the Fermi level is 8.4 states/eV per cell. The value obtained for the total magnetization is 0.182 μB/atom. Its total DFT energy (no corrections) is -19.0 eV/f.u. The excess energy over the best structure of this formula in the dataset comes out at 56 meV per atom. The calculation puts the uncorrected formation energy at 1.042 eV per atom.

a b c (Å): 5.675 5.675 5.209
angles (deg): 90.00 90.00 90.00
Fractional positions:
Co 0.000 0.000 0.000
Te 0.500 0.500 0.000
Mo 0.500 0.500 0.500
I 0.000 0.500 0.500
I 0.500 0.000 0.500